No. 1
Density functional theory data (PBE) for crystalline Sm5HoTl6 at its relaxed geometry.

Calculated values
E_tot ... -0.2867 Ry per atom
DFT formation energy ... -370 meV/atom
DOS(E_F) ... 9.34 states/eV/f.u.

Lattice parameters (Å, degrees): 5.4665 16.4192 7.6278 90.00 90.00 90.00
Closest atoms and distances in Å follow each position.
Space group Cmmm (No. 65)
Asymmetric unit:
Sm 0.0000 0.0000 0.0000 x2  8 Tl 3.32-3.34
Sm 0.0000 0.3313 0.0000 x4  8 Tl 3.35-3.37
Sm 0.0000 0.3337 0.5000 x4  8 Tl 3.32-3.35
Ho 0.0000 0.0000 0.5000 x2  8 Tl 3.29-3.32
Tl 0.0000 0.1646 0.2531 x8  1 Ho 3.29, 7 Sm 3.32-3.35
Tl 0.0000 0.5000 0.2522 x4  6 Sm 3.32-3.37, 2 Ho 3.32



No. 2
Density functional theory data (PBE) for crystalline SmHo2Tl4 at its relaxed geometry.

Calculated values
E_tot ... -0.2612 Ry per atom
DFT formation energy ... -220 meV/atom
DOS(E_F) ... 6.90 states/eV/f.u.
E above lowest polymorph ... 0.0 meV/atom

Lattice parameters (Å, degrees): 7.5955 7.5955 7.3553 90.00 90.00 90.00
Closest atoms and distances in Å follow each position.
Space group I4/mmm (No. 139)
Asymmetric unit:
Sm 0.0000 0.0000 0.0000 x2  8 Tl 3.25
Ho 0.0000 0.5000 0.0000 x4  8 Tl 3.25
Tl 0.2500 0.2500 0.2500 x8  4 Ho 3.25, 2 Sm 3.25



No. 3
Density functional theory data (PBE) for crystalline SmHo9Tl2 at its relaxed geometry.

Calculated values
E_tot ... -0.3178 Ry per atom
DFT formation energy ... -103 meV/atom
DOS(E_F) ... 14.33 states/eV/f.u.

Lattice parameters (Å, degrees): 4.8544 4.8544 14.9796 90.00 90.00 90.00
Closest atoms and distances in Å follow each position.
Space group P4/mmm (No. 123)
Asymmetric unit:
Sm 0.0000 0.0000 0.0000 x1  12 Ho 3.43-3.55
Ho 0.0000 0.5000 0.1729 x4  8 Ho 3.43-3.55, 2 Tl 3.48, 2 Sm 3.55
Ho 0.0000 0.5000 0.5000 x2  4 Tl 3.41, 8 Ho 3.43
Ho 0.5000 0.5000 0.0000 x1  4 Sm 3.43, 8 Ho 3.55
Ho 0.5000 0.5000 0.3381 x2  8 Ho 3.43-3.47, 4 Tl 3.43
Tl 0.0000 0.0000 0.3397 x2  12 Ho 3.41-3.48



No. 4
Density functional theory data (PBE) for crystalline SmHo2Tl at its relaxed geometry.

Calculated values
E_tot ... -0.3058 Ry per atom
DFT formation energy ... -101 meV/atom
DOS(E_F) ... 5.82 states/eV/f.u.
E above lowest polymorph ... 79.3 meV/atom

Lattice parameters (Å, degrees): 3.6428 3.6428 32.2346 90.00 90.00 120.00
Closest atoms and distances in Å follow each position.
Space group R3m (No. 160, hexagonal axes)
Asymmetric unit:
Sm 0.0000 0.0000 0.0000 x3  6 Ho 3.57-3.58, 6 Sm 3.64
Ho 0.0000 0.0000 0.5773 x3  3 Tl 3.26, 3 Sm 3.57, 6 Ho 3.64
Ho 0.0000 0.0000 0.7564 x3  3 Tl 3.25, 3 Sm 3.58
Tl 0.0000 0.0000 0.1667 x3  6 Ho 3.25-3.26



No. 5
Density functional theory data (PBE) for crystalline Sm3Ho7Tl at its relaxed geometry.

Calculated values
E_tot ... -0.3143 Ry per atom
DFT formation energy ... 139 meV/atom
DOS(E_F) ... 16.10 states/eV/f.u.

Lattice parameters (Å, degrees): 6.9694 6.9694 8.5383 90.00 90.00 120.00
Closest atoms and distances in Å follow each position.
Space group P3m1 (No. 156)
Asymmetric unit:
Sm 0.0019 0.5010 0.0000 x3  5 Ho 3.45-3.53, 4 Sm 3.46-3.50, 1 Tl 3.55
Ho 0.1696 0.3393 0.3393 x3  7 Ho 3.41-3.55, 2 Tl 3.48, 2 Sm 3.51
Ho 0.3333 0.6667 0.6712 x1  3 Sm 3.45, 9 Ho 3.46-3.49
Ho 0.3351 0.1676 0.6597 x3  1 Tl 3.37, 8 Ho 3.41-3.50, 2 Sm 3.53
Tl 0.6667 0.3333 0.3417 x1  9 Ho 3.37-3.48, 3 Sm 3.55



No. 6
Density functional theory data (PBE) for crystalline Sm4Ho15Tl at its relaxed geometry.

Calculated values
E_tot ... -0.3314 Ry per atom
DFT formation energy ... -14 meV/atom
DOS(E_F) ... 23.73 states/eV/f.u.

Lattice parameters (Å, degrees): 4.9648 4.9648 25.1488 90.00 90.00 90.00
Closest atoms and distances in Å follow each position.
Space group P4/mmm (No. 123)
Asymmetric unit:
Sm 0.0000 0.0000 0.1010 x2  12 Ho 3.51-3.55
Sm 0.0000 0.0000 0.3019 x2  12 Ho 3.51-3.56
Ho 0.0000 0.5000 0.0000 x2  8 Ho 3.51-3.56, 4 Sm 3.55
Ho 0.0000 0.5000 0.2017 x4  8 Ho 3.51-3.59, 4 Sm 3.54-3.55
Ho 0.0000 0.5000 0.4032 x4  8 Ho 3.48-3.51, 2 Tl 3.48, 2 Sm 3.56
Ho 0.5000 0.5000 0.1015 x2  4 Sm 3.51, 8 Ho 3.54-3.56
Ho 0.5000 0.5000 0.3049 x2  8 Ho 3.50-3.59, 4 Sm 3.51
Ho 0.5000 0.5000 0.5000 x1  8 Ho 3.48, 4 Tl 3.51
Tl 0.0000 0.0000 0.5000 x1  12 Ho 3.48-3.51